Compound: Ac3NpTl3Se8
Source: Alexandria via LeMat-Bulk
Functional: PBE-GGA
Structure: optimized geometry

The structure in POSCAR format:
```
Ac3NpTl3Se8
1.0
-3.0935 3.3768 -7.7408
-0.4139 -8.8538 1.5281
-5.6837 5.6533 4.7377
Ac Np Tl Se
3 1 3 8
Cartesian
-4.3886 4.5151 -1.5016 Ac
-4.5955 0.0882 -0.7375 Ac
-3.0488 -1.6002 3.1329 Ac
-2.8419 2.8267 2.3688 Np
0.0000 0.0000 0.0000 Tl
-0.2069 -4.4269 0.7640 Tl
-1.7537 -2.7385 -3.1063 Tl
-2.6180 -2.1418 0.1119 Se
-6.5731 2.3182 -1.5869 Se
-4.3176 -0.6261 -3.7727 Se
-4.8734 0.8024 2.2977 Se
-4.0947 4.1447 -4.5961 Se
-5.0963 -3.9683 3.1211 Se
-2.4278 2.3251 -0.4250 Se
-6.7633 -2.1487 -1.0500 Se
```

Output
**E_form (uncorrected)**: -1.3540 eV per atom
**Calculated density**: 6.633 g/cm³
**Raw total energy**: -5.370 eV per atom

=====

Compound: Ac2NpTl3Se6
Source: Alexandria via LeMat-Bulk
Functional: PBE-GGA
Structure: optimized geometry

The structure in POSCAR format:
```
Ac2NpTl3Se6
1.0
-0.8342 7.7003 -0.2674
-4.5273 -4.2237 4.6611
6.9238 -0.4050 4.2085
Ac Np Tl Se
2 1 3 6
Cartesian
-3.2961 -0.2486 3.0181 Ac
-2.0653 3.7252 1.3756 Ac
0.0000 0.0000 0.0000 Np
-0.4499 -2.4390 5.9440 Tl
2.0123 5.5106 2.6582 Tl
0.7812 1.5358 4.3011 Tl
1.9087 4.2519 5.9163 Se
-2.5501 2.5350 4.2224 Se
-0.3464 -1.1803 2.6859 Se
0.7362 0.4663 7.4810 Se
4.1124 0.5366 4.3798 Se
0.8261 2.6053 1.1213 Se
```

Output
**E_form (uncorrected)**: -1.2436 eV per atom
**Calculated density**: 7.378 g/cm³
**Raw total energy**: -5.341 eV per atom

=====

Compound: AcNpTl2Se4
Source: Alexandria via LeMat-Bulk
Functional: PBE-GGA
Structure: optimized geometry

The structure in POSCAR format:
```
AcNpTl2Se4
1.0
-3.5560 -2.5175 0.6469
2.9925 -2.5334 6.5911
-4.4047 6.6324 1.5980
Ac Np Tl Se
1 1 2 4
Cartesian
-0.2818 -2.5254 3.6190 Ac
0.0000 0.0000 0.0000 Np
-3.9803 2.0574 1.1224 Tl
-0.7061 2.0495 4.0945 Tl
-2.0286 -0.4474 2.1031 Se
-2.9395 2.0289 6.7328 Se
-2.7150 4.5759 2.8831 Se
1.3028 -0.4769 5.3059 Se
```

Output
**E_form (uncorrected)**: -1.1476 eV per atom
**Calculated density**: 7.574 g/cm³
**Raw total energy**: -5.613 eV per atom

=====

Compound: AcNp2Tl3Se6
Source: Alexandria via LeMat-Bulk
Functional: PBE-GGA
Structure: optimized geometry

The structure in POSCAR format:
```
AcNp2Tl3Se6
1.0
7.5251 0.0042 0.0017
-3.7571 6.5201 0.0017
-1.2550 -2.1730 7.7348
Ac Np Tl Se
1 2 3 6
Cartesian
0.0000 0.0000 0.0000 Ac
-0.0004 4.3504 0.0017 Np
3.7684 2.1738 0.0017 Np
-2.5306 4.3628 3.8691 Tl
5.0436 -0.0116 3.8691 Tl
1.2565 2.1756 3.8691 Tl
3.8354 2.0522 6.1120 Se
2.4397 4.2243 1.5951 Se
-1.3224 2.2991 1.6262 Se
-0.1392 4.3477 6.1120 Se
0.0733 0.1270 6.1430 Se
2.6523 0.0036 1.6262 Se
```

Output
**E_form (uncorrected)**: -1.0625 eV per atom
**Calculated density**: 7.819 g/cm³
**Raw total energy**: -5.895 eV per atom

=====

> Among the records above, which one has the lowest E_form (uncorrected)?

Ac3NpTl3Se8

=====

> Which value of E_form (uncorrected) does entry 3 give?

-1.1476 eV per atom